No. 1
# SrSi2Au4

A relaxed SrSi2Au4 crystal (PBE, the Alexandria database).

Values from the calculation:
Formation energy (no corrections) = -0.395 eV/atom
E_tot = -56.80 eV for the cell shown

```
data_SrSi2Au4
_chemical_formula_sum 'Sr2 Si4 Au8'
_cell_length_a 4.514
_cell_length_b 13.356
_cell_length_c 4.607
_cell_angle_alpha 90.00
_cell_angle_beta 90.00
_cell_angle_gamma 90.00
_space_group_name_H-M_alt 'C m m m'
_space_group_IT_number 65
_space_group_name_Hall '-C 2 2'
loop_
_atom_site_label
_atom_site_fract_x
_atom_site_fract_y
_atom_site_fract_z
Sr1 0.000 0.000 0.000
Si1 0.000 0.407 0.500
Au1 0.000 0.177 0.500
Au2 0.000 0.328 0.000
```

---

No. 2
# SrGaSn

A relaxed SrGaSn crystal (PBE, the Alexandria database).

Values from the calculation:
ΔH_f (0 K) = -362.3 meV/atom
E_tot = -19.60 eV for the cell shown

```
data_SrGaSn
_chemical_formula_sum 'Sr2 Ga2 Sn2'
_cell_length_a 3.814
_cell_length_b 3.814
_cell_length_c 11.624
_cell_angle_alpha 90.00
_cell_angle_beta 90.00
_cell_angle_gamma 90.00
_space_group_name_H-M_alt 'I 4 m m'
_space_group_IT_number 107
_space_group_name_Hall 'I 4 -2'
loop_
_atom_site_label
_atom_site_fract_x
_atom_site_fract_y
_atom_site_fract_z
Sr1 0.000 0.000 0.000
Ga1 0.000 0.000 0.690
Sn1 0.000 0.000 0.300
```

---

No. 3
# MnVAsBr2

A relaxed MnVAsBr2 crystal (PBE, the Alexandria database).

Values from the calculation:
Formation energy (no corrections) = 0.242 eV/atom
E_tot = -25.07 eV for the cell shown

```
data_MnVAsBr2
_chemical_formula_sum 'Mn1 V1 As1 Br2'
_cell_length_a 5.066
_cell_length_b 5.066
_cell_length_c 4.986
_cell_angle_alpha 90.00
_cell_angle_beta 90.00
_cell_angle_gamma 90.00
_space_group_name_H-M_alt 'P 4/m m m'
_space_group_IT_number 123
_space_group_name_Hall '-P 4 2'
loop_
_atom_site_label
_atom_site_fract_x
_atom_site_fract_y
_atom_site_fract_z
Mn1 0.000 0.000 0.000
V1 0.500 0.500 0.500
As1 0.500 0.500 0.000
Br1 0.000 0.500 0.500
```

---

> Which formula does entry 3 have?

MnVAsBr2